Below is an optimized crystal structure of Th2Ga12Pt7, with properties calculated at the GGA-PBE level.

a b c (Å): 4.1448 10.2004 10.2004
angles (deg): 120.00 90.00 90.00
With the nearest neighbours (Å) after each atom.
Fractional positions:
Pt (0.0000, 0.2093, 0.2794)  7 Ga 2.55-2.74
Ga (0.5000, 0.5483, 0.7501)  5 Pt 2.60-2.82
Ga (0.0000, 0.2774, 0.0690)  4 Pt 2.55-2.60, 1 Ga 2.83
Ga (0.5000, 0.6967, 0.0808)  4 Pt 2.53-2.66, 2 Ga 2.81
Pt (0.0000, 0.0701, 0.7907)  7 Ga 2.55-2.74
Pt (0.0000, 0.7206, 0.9299)  7 Ga 2.55-2.74
Ga (0.0000, 0.9310, 0.2084)  4 Pt 2.55-2.60, 1 Ga 2.83
Pt (0.5000, 0.6481, 0.5598)  7 Ga 2.53-2.66
Th (0.5000, 0.0000, 0.0000)  9 Ga 3.29-3.58, 6 Pt 3.30
Pt (0.5000, 0.4402, 0.0882)  7 Ga 2.53-2.66
Ga (0.5000, 0.2018, 0.4517)  5 Pt 2.60-2.82
Ga (0.0000, 0.7916, 0.7226)  4 Pt 2.55-2.60, 1 Ga 2.83
Ga (0.5000, 0.3842, 0.3033)  4 Pt 2.53-2.66, 2 Ga 2.81
Ga (0.0000, 0.4753, 0.5176)  4 Pt 2.57-2.61, 3 Ga 2.81-2.83
Ga (0.0000, 0.0423, 0.5247)  4 Pt 2.57-2.61, 3 Ga 2.81-2.83
Pt (0.5000, 0.9118, 0.3519)  7 Ga 2.53-2.66
Pt (0.0000, 0.3333, 0.6667)  9 Ga 2.57-2.82
Th (0.0000, 0.6667, 0.3333)  6 Pt 3.18, 12 Ga 3.32-3.51
Ga (0.5000, 0.9192, 0.6158)  4 Pt 2.53-2.66, 2 Ga 2.81
Ga (0.0000, 0.4824, 0.9577)  4 Pt 2.57-2.61, 3 Ga 2.81-2.83
Ga (0.5000, 0.2499, 0.7981)  5 Pt 2.60-2.82

Properties
Formation energy from the elements   -0.719 eV/atom
Symmetry   No. 174

=====

Below is an optimized crystal structure of HoEr4Tm3, with properties calculated at the GGA-PBE level.

a b c (Å): 5.5192 3.5155 13.1563
angles (deg): 89.98 102.11 90.00
With the nearest neighbours (Å) after each atom.
Fractional positions:
Tm (0.8442, 0.9997, 0.6883)  2 Tm 3.52, 10 Er 3.54-3.70
Ho (0.5000, 0.0000, 0.0000)  4 Er 3.19, 4 Tm 3.27, 2 Ho 3.52
Tm (0.1558, 0.0003, 0.3117)  2 Tm 3.52, 10 Er 3.54-3.70
Er (0.6034, 0.5003, 0.2068)  1 Er 3.08, 2 Ho 3.19
Er (0.2770, 0.4992, 0.5541)  3 Er 3.08-3.09
Er (0.7230, 0.5008, 0.4459)  3 Er 3.08-3.09
Er (0.3966, 0.4997, 0.7932)  1 Er 3.08, 2 Ho 3.19
Tm (0.0000, 0.5000, 0.0000)  4 Ho 3.27, 2 Tm 3.52

Properties
Formation energy from the elements   0.216 eV/atom
Symmetry   No. 65

=====

Below is an optimized crystal structure of ScHg2Ir, with properties calculated at the GGA-PBE level.

a b c (Å): 4.0344 4.1425 4.5912
angles (deg): 90.00 90.00 90.00
With the nearest neighbours (Å) after each atom.
Fractional positions:
Ir (0.5000, 0.0000, 0.5000)  4 Sc 2.89, 8 Hg 3.06-3.09
Hg (0.5000, 0.5000, 0.0000)  4 Hg 2.89, 4 Sc 3.06, 4 Ir 3.09
Sc (0.0000, 0.5000, 0.5000)  4 Ir 2.89, 8 Hg 3.06-3.09
Hg (0.0000, 0.0000, 0.0000)  4 Hg 2.89, 4 Ir 3.06, 4 Sc 3.09

Properties
Formation energy from the elements   -0.129 eV/atom
Symmetry   No. 47

=====

Below is an optimized crystal structure of Mg6Zn6Cu, with properties calculated at the GGA-PBE level.

a b c (Å): 5.2341 5.2341 10.0574
angles (deg): 90.00 90.00 120.00
With the nearest neighbours (Å) after each atom.
Fractional positions:
Mg (0.3333, 0.6667, 0.0000)  6 Zn 2.86, 3 Mg 3.02, 3 Cu 3.02
Zn (0.5000, 0.5000, 0.7583)  4 Zn 2.62, 4 Mg 2.82-2.86
Cu (0.0000, 0.0000, 0.0000)  6 Mg 3.02
Mg (0.3333, 0.6667, 0.5000)  6 Zn 3.01, 3 Mg 3.02
Zn (0.0000, 0.5000, 0.7583)  4 Zn 2.62, 4 Mg 2.82-2.86
Zn (0.5000, 0.0000, 0.2417)  4 Zn 2.62, 4 Mg 2.82-2.86
Mg (0.0000, 0.0000, 0.6530)  6 Zn 2.82, 1 Mg 3.08
Zn (0.5000, 0.5000, 0.2417)  4 Zn 2.62, 4 Mg 2.82-2.86
Zn (0.5000, 0.0000, 0.7583)  4 Zn 2.62, 4 Mg 2.82-2.86
Zn (0.0000, 0.5000, 0.2417)  4 Zn 2.62, 4 Mg 2.82-2.86
Mg (0.6667, 0.3333, 0.0000)  6 Zn 2.86, 3 Mg 3.02, 3 Cu 3.02
Mg (0.6667, 0.3333, 0.5000)  6 Zn 3.01, 3 Mg 3.02
Mg (0.0000, 0.0000, 0.3470)  6 Zn 2.82, 1 Mg 3.08

Properties
Formation energy from the elements   0.013 eV/atom
Symmetry   No. 191

=====

> Which value of formation energy from the elements does entry 3 give?

-0.129 eV/atom